(1)
First-principles (PBE) data for crystalline ErScCo2 at its relaxed geometry, as listed in Alexandria via LeMat-Bulk.

a = 3.2139 Å, b = 3.2139 Å, c = 6.4292 Å
α = 90.00°, β = 90.00°, γ = 90.00°
Last column: magnetic moment on the atom in μB.
Fractional coordinates of all 4 atoms:
Sc1 0.5000 0.5000 0.0000  -0.14
Co1 0.0000 0.0000 0.2340  0.47
Er1 0.5000 0.5000 0.5000  -0.17
Co2 0.0000 0.0000 0.7660  0.47

formation enthalpy at 0 K	-258	meV per atom
energy relative to the lowest polymorph listed for this composition	0.00	eV/f.u.

=====

(2)
First-principles (PBE) data for crystalline Ho2PuHg3 at its relaxed geometry, as listed in Alexandria via LeMat-Bulk.

a = 3.6936 Å, b = 3.6936 Å, c = 11.3402 Å
α = 90.00°, β = 90.00°, γ = 90.00°
Last column: magnetic moment on the atom in μB.
Fractional coordinates of all 6 atoms:
Hg1 0.0000 0.0000 0.3204  0.01
Pu1 0.5000 0.5000 0.5000  5.54
Hg2 0.0000 0.0000 0.0000  0.00
Hg3 0.0000 0.0000 0.6796  0.01
Ho1 0.5000 0.5000 0.1635  0.01
Ho2 0.5000 0.5000 0.8366  0.01

formation enthalpy at 0 K	-354	meV per atom

=====

(3)
First-principles (PBE) data for crystalline HfP2PdS at its relaxed geometry, as listed in Alexandria via LeMat-Bulk.

a = 4.5900 Å, b = 4.5900 Å, c = 4.6413 Å
α = 90.00°, β = 90.00°, γ = 90.00°
Fractional coordinates of all 5 atoms:
P1 0.0000 0.5000 0.0000
Pd1 0.0000 0.0000 0.0000
S1 0.0000 0.0000 0.5000
Hf1 0.5000 0.5000 0.5000
P2 0.5000 0.0000 0.0000

energy relative to the lowest polymorph listed for this composition	0.21	eV/f.u.
uncorrected formation energy	198	kJ/mol of formula units

=====

(4)
First-principles (PBE) data for crystalline NdPuAu2 at its relaxed geometry, as listed in Alexandria via LeMat-Bulk.

a = 4.3285 Å, b = 4.3285 Å, c = 7.3922 Å
α = 72.98°, β = 72.98°, γ = 60.00°
Last column: magnetic moment on the atom in μB.
Fractional coordinates of all 4 atoms:
Pu1 0.0000 0.0000 0.0000  5.41
Au1 0.7484 0.7484 0.7547  0.02
Au2 0.2516 0.2516 0.2453  0.02
Nd1 0.5000 0.5000 0.5000  0.08

formation enthalpy at 0 K	-446	meV per atom
energy relative to the lowest polymorph listed for this composition	0.53	eV/f.u.

=====

(5)
First-principles (PBE) data for crystalline Gd2ThCo at its relaxed geometry, as listed in Alexandria via LeMat-Bulk.

a = 3.4452 Å, b = 3.4452 Å, c = 8.7200 Å
α = 90.00°, β = 90.00°, γ = 90.00°
Last column: magnetic moment on the atom in μB.
Fractional coordinates of all 4 atoms:
Gd1 0.0000 0.0000 0.8117  7.13
Gd2 0.0000 0.0000 0.1883  7.13
Co1 0.5000 0.5000 0.0000  -1.01
Th1 0.5000 0.5000 0.5000  -0.04

formation enthalpy at 0 K	-9	meV per atom
energy relative to the lowest polymorph listed for this composition	0.00	eV/f.u.

=====

(6)
First-principles (PBE) data for crystalline Zn2InMo at its relaxed geometry, as listed in Alexandria via LeMat-Bulk.

a = 9.2473 Å, b = 9.2473 Å, c = 9.2473 Å
α = 18.48°, β = 18.48°, γ = 18.48°
Fractional coordinates of all 4 atoms:
Zn1 0.2559 0.2559 0.2559
Mo1 0.7449 0.7449 0.7449
In1 0.5004 0.5004 0.5004
Zn2 0.9989 0.9989 0.9989

formation enthalpy at 0 K	285	meV per atom

=====

(7)
First-principles (PBE) data for crystalline LiPaTlSe4 at its relaxed geometry, as listed in Alexandria via LeMat-Bulk.

a = 7.2633 Å, b = 5.6685 Å, c = 9.5661 Å
α = 90.00°, β = 109.68°, γ = 90.00°
Fractional coordinates of all 14 atoms:
Se1 0.0260 0.9905 0.6958
Se2 0.5675 0.2500 0.4225
Pa1 0.2663 0.2500 0.5585
Se3 0.0260 0.5095 0.6958
Li1 0.7501 0.2500 0.6997
Tl1 0.7292 0.7500 0.9521
Pa2 0.7337 0.7500 0.4415
Li2 0.2499 0.7500 0.3003
Se4 0.9740 0.0095 0.3042
Se5 0.4731 0.7500 0.1573
Se6 0.9740 0.4905 0.3042
Tl2 0.2708 0.2500 0.0479
Se7 0.4325 0.7500 0.5775
Se8 0.5269 0.2500 0.8427

uncorrected formation energy	-691	kJ/mol of formula units

=====

(8)
First-principles (PBE) data for crystalline Th5In2Tc2 at its relaxed geometry, as listed in Alexandria via LeMat-Bulk.

a = 7.9413 Å, b = 7.8458 Å, c = 9.1094 Å
α = 115.51°, β = 90.00°, γ = 90.00°
Fractional coordinates of all 18 atoms:
In1 0.5000 0.7173 0.4346
Tc1 0.3616 0.1383 0.0000
Tc2 0.1384 0.6383 0.0000
Th1 0.8367 0.7785 0.2294
Th2 0.8367 0.5490 0.7706
Tc3 0.8616 0.3617 0.0000
Th3 0.5000 0.5000 0.0000
Th4 0.3367 0.7215 0.7706
Th5 0.3367 0.9510 0.2294
Th6 0.1633 0.4510 0.2294
Tc4 0.6384 0.8617 0.0000
In2 0.0000 0.2173 0.4346
Th7 0.6633 0.2785 0.2294
In3 0.5000 0.2827 0.5654
Th8 0.0000 0.0000 0.0000
In4 0.0000 0.7827 0.5654
Th9 0.6633 0.0490 0.7706
Th10 0.1633 0.2215 0.7706

formation enthalpy at 0 K	-173	meV per atom

=====

(9)
First-principles (PBE) data for crystalline Tl3AsPb at its relaxed geometry, as listed in Alexandria via LeMat-Bulk.

a = 5.7449 Å, b = 6.4733 Å, c = 8.7668 Å
α = 90.00°, β = 90.00°, γ = 103.54°
Fractional coordinates of all 10 atoms:
Tl1 0.2548 0.7334 0.9574
Tl2 0.7452 0.2666 0.0426
Tl3 0.1939 0.2301 0.7500
Pb1 0.7400 0.6162 0.7500
Tl4 0.2548 0.7334 0.5426
Tl5 0.8061 0.7699 0.2500
Pb2 0.2600 0.3838 0.2500
As1 0.3744 0.9821 0.2500
Tl6 0.7452 0.2666 0.4574
As2 0.6256 0.0179 0.7500

formation enthalpy at 0 K	43	meV per atom
energy relative to the lowest polymorph listed for this composition	0.00	eV/f.u.

=====

(10)
First-principles (PBE) data for crystalline K3NbBr2Cl6 at its relaxed geometry, as listed in Alexandria via LeMat-Bulk.

a = 5.8677 Å, b = 9.0514 Å, c = 9.2994 Å
α = 119.12°, β = 90.42°, γ = 90.00°
Last column: magnetic moment on the atom in μB.
Fractional coordinates of all 12 atoms:
K1 0.0000 0.5000 0.0000  0.00
Br1 0.8407 0.3145 0.6290  -0.07
Cl1 0.7313 0.2495 0.1243  0.00
Cl2 0.7313 0.8748 0.1243  0.00
Cl3 0.7357 0.8814 0.7628  0.00
Nb1 0.5000 0.0000 0.0000  0.00
K2 0.5000 0.5000 0.5000  0.00
Cl4 0.2643 0.1186 0.2372  0.00
Cl5 0.2687 0.1252 0.8757  0.00
Cl6 0.2687 0.7505 0.8757  0.00
Br2 0.1593 0.6855 0.3710  -0.07
K3 0.5000 0.0000 0.5000  0.00

uncorrected formation energy	-1730	kJ/mol of formula units

=====

no.,total DFT energy (no corrections) (eV per cell)
1,-26.140
2,-26.518
3,-28.037
4,-27.439
5,-42.723
6,-14.977
7,-69.745
8,-129.737
9,-30.480
10,-45.717